No. 1
A relaxed structure of TePbCl, computed with PBE.

Lattice parameters (Å, degrees): 3.974 3.974 7.789 90.00 90.00 120.00
Fractional coordinates of all 3 atoms:
Te: 0.000 0.000 0.000
Pb: 0.333 0.667 0.700
Cl: 0.667 0.333 0.470

Calculated values
**Energy**: -3.308 eV per atom
**Uncorrected formation energy**: -0.409 eV per atom
**Offset from the most stable computed form**: 193 meV per atom
**N(E_F)**: 2.2 states/eV/cell
**Magnetic moment**: 0.00 μB per atom



No. 2
A relaxed structure of TePbCl2, computed with PBE.

Lattice parameters (Å, degrees): 9.933 9.933 9.933 21.93 21.93 21.93
Fractional coordinates of all 4 atoms:
Te: 0.000 0.000 0.000
Pb: 0.753 0.753 0.753
Cl: 0.261 0.261 0.261
Cl: 0.485 0.485 0.485

Calculated values
**Energy**: -2.861 eV per atom
**Uncorrected formation energy**: -0.225 eV per atom
**Offset from the most stable computed form**: 338 meV per atom
**N(E_F)**: 5.1 states/eV/cell
**Magnetic moment**: 0.00 μB per atom



No. 3
A relaxed structure of TePb2Cl, computed with PBE.

Lattice parameters (Å, degrees): 3.339 4.676 8.312 90.00 94.73 90.00
Fractional coordinates of all 4 atoms:
Te: 0.000 0.000 0.000
Pb: 0.033 0.500 0.267
Pb: 0.967 0.500 0.733
Cl: 0.000 0.000 0.500

Calculated values
**Energy**: -3.513 eV per atom
**Uncorrected formation energy**: -0.412 eV per atom
**Offset from the most stable computed form**: 73 meV per atom
**N(E_F)**: 1.1 states/eV/cell
**Magnetic moment**: 0.00 μB per atom



No. 4
A relaxed structure of TePbCl, computed with PBE.

Lattice parameters (Å, degrees): 4.504 4.504 12.729 103.84 103.84 58.95
Fractional coordinates of all 6 atoms:
Te: 0.210 0.210 0.406
Te: 0.790 0.790 0.594
Pb: 0.165 0.165 0.749
Pb: 0.835 0.835 0.251
Cl: 0.395 0.395 0.125
Cl: 0.605 0.605 0.875

Calculated values
**Energy**: -3.402 eV per atom
**Uncorrected formation energy**: -0.503 eV per atom
**Offset from the most stable computed form**: 99 meV per atom
**N(E_F)**: 3.1 states/eV/cell
**Magnetic moment**: 0.00 μB per atom



No. 5
A relaxed structure of TePb2Cl, computed with PBE.

Lattice parameters (Å, degrees): 8.960 8.960 8.960 26.96 26.96 26.96
Fractional coordinates of all 4 atoms:
Te: 0.000 0.000 0.000
Pb: 0.251 0.251 0.251
Pb: 0.749 0.749 0.749
Cl: 0.500 0.500 0.500

Calculated values
**Energy**: -3.564 eV per atom
**Uncorrected formation energy**: -0.462 eV per atom
**Offset from the most stable computed form**: 22 meV per atom
**N(E_F)**: 1.6 states/eV/cell
**Magnetic moment**: 0.00 μB per atom



No. 6
A relaxed structure of Te2Pb4Cl5, computed with PBE.

Lattice parameters (Å, degrees): 9.857 9.857 11.912 97.88 97.88 25.87
Fractional coordinates of all 11 atoms:
Te: 0.004 0.004 0.133
Te: 0.996 0.996 0.867
Pb: 0.162 0.162 0.886
Pb: 0.500 0.500 0.311
Pb: 0.500 0.500 0.689
Pb: 0.838 0.838 0.114
Cl: 0.000 0.000 0.500
Cl: 0.328 0.328 0.957
Cl: 0.356 0.356 0.291
Cl: 0.644 0.644 0.709
Cl: 0.672 0.672 0.043

Calculated values
**Energy**: -3.552 eV per atom
**Uncorrected formation energy**: -0.793 eV per atom
**N(E_F)**: 0.8 states/eV/cell
**Magnetic moment**: 0.00 μB per atom